VASP calculation (GGA-PBE) on a relaxed structure of HoBiS3.

Computed properties:
The symmetry is P2_1/m. For the energy above the lowest structure with this stoichiometry, the calculation gives 0.000 eV/atom. The uncorrected formation energy is -1.187 eV/atom.

Structure (POSCAR):
```
HoBiS3
1.0
4.0033 0.0000 0.0000
0.0000 7.0886 -0.0378
0.0000 0.0777 9.9766
Ho Bi S
2 2 6
Direct
0.2500 0.9256 0.1763
0.7500 0.0744 0.8237
0.2500 0.5832 0.8133
0.7500 0.4168 0.1867
0.2500 0.2220 0.9925
0.7500 0.7780 0.0075
0.2500 0.5909 0.3167
0.7500 0.4091 0.6833
0.2500 0.9111 0.6869
0.7500 0.0889 0.3131
```